Below is an optimized crystal structure of PHAu2, with properties calculated at the PBE-GGA level.

- energy relative to the lowest polymorph listed for this composition (meV/atom) = 0
- symmetry = No. 122
- final energy (eV per atom) = -3.530
- density of states at the Fermi level (states/eV/f.u.) = 1.0

Structure (CIF):
```
data_PHAu2
_cell_length_a 4.8370
_cell_length_b 4.8370
_cell_length_c 6.4540
_cell_angle_alpha 67.99
_cell_angle_beta 67.99
_cell_angle_gamma 90.00
_space_group_name_H-M_alt 'P 1'
_space_group_IT_number 1
loop_
_space_group_symop_operation_xyz
'x,y,z'
loop_
_atom_site_label
_atom_site_type_symbol
_atom_site_fract_x
_atom_site_fract_y
_atom_site_fract_z
P1 P 0.0000 0.0000 0.0000
P2 P 0.7500 0.2500 0.5000
Au1 Au 0.5464 0.1250 0.2500
Au2 Au 0.2036 0.6250 0.2500
Au3 Au 0.3750 0.4536 0.7500
Au4 Au 0.8750 0.7964 0.7500
H1 H 0.5000 0.5000 0.0000
H2 H 0.2500 0.7500 0.5000
```